Here is a geometry-optimized Ho4AsS2 structure from Alexandria via LeMat-Bulk. Energies are from PBE-GGA.

The structure in extended XYZ format:
```
14
Lattice="14.674 0.000 0.000 0.000 3.899 0.000 -2.900 0.000 5.953" Properties=species:S:1:pos:R:3 pbc="T T T"
Ho 0.495 0.000 2.751
Ho -0.896 1.950 5.762
Ho 5.334 0.000 0.191
Ho 3.942 1.950 3.202
Ho 7.832 1.950 2.751
Ho 6.441 0.000 5.762
Ho 12.671 1.950 0.191
Ho 11.279 0.000 3.202
As 0.000 0.000 0.000
As 7.337 1.950 0.000
S 1.432 1.950 4.386
S 3.006 0.000 1.567
S 8.769 0.000 4.386
S 10.343 1.950 1.567
```

Energy: -0.21805 Ha/atom
Total magnetic moment: 0.0 μB per cell
Formation energy from raw total energies: -10.32 eV/f.u.